[1]
Compound: KZnCr2Cl8
Source: the Alexandria database
Functional: PBE
Structure: relaxed

The uncorrected formation energy comes out at -25.08 kcal/mol of atoms. The density of states at the Fermi level comes out at 0.373 states/eV per atom. The total DFT energy (no corrections) comes out at -4.120 eV per atom.

The structure belongs to space group P2/m (No. 10); the cell edges are 6.092, 7.684 and 6.292 Å and the angles 90.00°, 96.33° and 90.00°. The asymmetric unit holds K at (0.000, 0.000, 0.000), Zn at (0.000, 0.500, 0.000), Cr at (0.500, 0.262, 0.500), Cl at (0.253, 0.286, 0.173), Cl at (0.286, 0.500, 0.642) and Cl at (0.305, 0.000, 0.629).



[2]
Compound: Nd5BiS4
Source: the Alexandria database
Functional: PBE
Structure: relaxed

The uncorrected formation energy comes out at -40.49 kcal/mol of atoms. The density of states at the Fermi level comes out at 0.311 states/eV per atom. The total DFT energy (no corrections) comes out at -6.179 eV per atom.

The structure belongs to space group C2/m (No. 12); the cell edges are 13.875, 4.162 and 10.288 Å and the angles 90.00°, 119.46° and 90.00°. The asymmetric unit holds Nd at (0.000, 0.000, 0.000), Nd at (0.110, 0.500, 0.384), Nd at (0.208, 0.000, 0.819), Bi at (0.000, 0.000, 0.500), S at (0.093, 0.500, 0.896) and S at (0.205, 0.000, 0.292).